Entry from the Alexandria database: crystalline Rb2Tl7Pb at its relaxed geometry (PBE).

Unit cell a=5.300 b=5.300 c=13.225 alpha=90.00 beta=90.00 gamma=90.00
Space group P-4m2 (No. 115)
One atom of each set of equivalent atoms:
Rb 0.000 0.500 0.248 [2 per cell]
Tl 0.000 0.000 0.000 [1 per cell]
Tl 0.000 0.000 0.500 [1 per cell]
Tl 0.000 0.500 0.633 [2 per cell]
Tl 0.000 0.500 0.864 [2 per cell]
Tl 0.500 0.500 0.500 [1 per cell]
Pb 0.500 0.500 0.000 [1 per cell]

Output
Formation energy in eV per atom: -0.059
Size of the total moment in μB per atom: 0.0000
D(E_F) in states/eV/atom: 0.4616
E in eV per atom: -2.28
Offset from the most stable computed form in eV per formula unit: 0.000